EuCuSnHg: relaxed, PBE-GGA.

The space group is F-43m (No. 216) and the conventional cell measures 7.1949, 7.1949 and 7.1949 Å, with angles of 90.00, 90.00 and 90.00 degrees. The distinct sites, in fractional coordinates, are Eu at (0.0000, 0.0000, 0.0000), Cu at (0.2500, 0.2500, 0.7500), Sn at (0.0000, 0.0000, 0.5000) and Hg at (0.2500, 0.2500, 0.2500).

For the final energy, the calculation gives -4.9370 eV per atom. As for the total magnetic moment: 6.9 μB/f.u.